Record 1
{"formula": "MnCuPt2", "functional": "PBE", "state": "optimized geometry", "lattice_angstrom": [[-4.532, 0.512, -1.407], [-4.584, -0.448, 1.250], [-0.921, 4.248, 1.516]], "species": ["Cu", "Mn", "Pt", "Pt"], "fractional_positions": [[0.500, 0.500, 0.513], [0.249, 0.249, 0.240], [0.997, 0.997, 0.020], [0.753, 0.753, 0.727]]}

=====

Record 2
{"formula": "MnCuPt2", "functional": "PBE", "state": "optimized geometry", "lattice_angstrom": [[-3.491, -2.833, -1.688], [1.714, -3.378, -2.952], [1.223, 1.446, 4.413]], "species": ["Mn", "Cu", "Pt", "Pt"], "fractional_positions": [[0.250, 0.750, 0.500], [0.500, 0.500, 0.000], [0.000, 0.000, 0.000], [0.750, 0.250, 0.500]]}

=====

Record 3
{"formula": "Mn5CuPt6", "functional": "PBE", "state": "optimized geometry", "lattice_angstrom": [[-3.734, -1.560, -0.845], [2.066, -1.409, -6.529], [2.760, -4.113, 5.505]], "species": ["Mn", "Mn", "Mn", "Mn", "Mn", "Pt", "Pt", "Pt", "Pt", "Pt", "Pt", "Cu"], "fractional_positions": [[0.660, 0.160, 0.320], [0.330, 0.330, 0.661], [0.000, 0.500, 0.000], [0.670, 0.670, 0.339], [0.340, 0.840, 0.680], [0.833, 0.580, 0.666], [0.833, 0.086, 0.666], [0.500, 0.743, 0.000], [0.500, 0.257, 0.000], [0.167, 0.914, 0.334], [0.167, 0.420, 0.334], [0.000, 0.000, 0.000]]}

=====

Record 4
{"formula": "MnCu2Pt3", "functional": "PBE", "state": "optimized geometry", "lattice_angstrom": [[-5.977, 1.248, 0.886], [5.122, -2.093, 2.729], [1.734, 6.872, 2.016]], "species": ["Mn", "Mn", "Cu", "Cu", "Cu", "Cu", "Pt", "Pt", "Pt", "Pt", "Pt", "Pt"], "fractional_positions": [[0.318, 0.682, 0.000], [0.682, 0.318, 0.000], [0.000, 0.000, 0.000], [0.000, 0.000, 0.500], [0.335, 0.665, 0.500], [0.665, 0.335, 0.500], [0.834, 0.166, 0.755], [0.500, 0.500, 0.241], [0.166, 0.834, 0.245], [0.834, 0.166, 0.245], [0.166, 0.834, 0.755], [0.500, 0.500, 0.759]]}

=====

In eV per cell, the DFT total energy values for the records above are, in order, -26.21; -26.38; -90.32; -72.48.
In states/eV/cell, the N(E_F) values for the records above are, in order, 1.88; 3.37; 5.10; 10.68.